VASP calculation (PBE-GGA) on a geometry-optimized ZnReIr structure.

Output
raw total energy = -45.54 eV for the cell shown
calculated formation energy = -63 meV/atom
theoretical density = 16.9 g/cm³
E above lowest polymorph = 101 meV/atom

Lattice parameters (Å, degrees): 2.787 2.787 11.262 90.00 90.00 90.00
Space group I4mm (No. 107)
Asymmetric unit:
Zn  0.000  0.000  0.000 (multiplicity 2)
Re  0.000  0.000  0.674 (multiplicity 2)
Ir  0.000  0.000  0.330 (multiplicity 2)